Entry from Alexandria via LeMat-Bulk: a relaxed structure of RbCuPdSe (PBE-GGA).

a b c (Å): 3.864 3.864 13.226
angles (deg): 90.00 90.00 90.00
Sites, in units of the cell vectors:
1 Rb 0.750 0.750 0.278
2 Rb 0.250 0.250 0.722
3 Cu 0.750 0.250 0.000
4 Cu 0.250 0.750 0.000
5 Pd 0.250 0.750 0.500
6 Pd 0.750 0.250 0.500
7 Se 0.750 0.750 0.884
8 Se 0.250 0.250 0.116

Results
energy relative to the elements, uncorrected = -241 meV per atom
DOS(E_F) = 3.50 states/eV/f.u.
uncorrected energy = -3.676 eV per atom
calculated density = 5.63 g cm⁻³